Entry 1:
The following is a DFT calculation (GGA-PBE) of a relaxed structure of ScTl4Zn.

Calculated values
Size of the total moment = 0.5 μB/f.u.
Uncorrected energy = -2.507 eV per atom
DFT formation energy = 196 kJ/mol of formula units
SG = No. 216

a b c (Å): 6.236 6.236 6.236
angles (deg): 60.00 60.00 60.00
Each line ends with the local moment (μB).
Sites, in units of the cell vectors:
Sc 0.000 0.000 0.000  0.23
Tl 0.875 0.375 0.375  0.01
Tl 0.375 0.375 0.875  0.01
Tl 0.375 0.875 0.375  0.01
Tl 0.375 0.375 0.375  0.01
Zn 0.750 0.750 0.750  0.00

=====

Entry 2:
The following is a DFT calculation (GGA-PBE) of a relaxed structure of Sc2Tl2Zn.

Calculated values
Size of the total moment = 0.0 μB/f.u.
Uncorrected energy = -3.814 eV per atom
DFT formation energy = -39 kJ/mol of formula units
SG = No. 127
Energy above the lowest structure with this stoichiometry = 0.22 eV/f.u.

a b c (Å): 7.479 7.479 4.291
angles (deg): 90.00 90.00 90.00
Sites, in units of the cell vectors:
Sc 0.347 0.847 0.000
Sc 0.847 0.653 0.000
Sc 0.653 0.153 0.000
Sc 0.153 0.347 0.000
Tl 0.154 0.654 0.500
Tl 0.654 0.846 0.500
Tl 0.846 0.346 0.500
Tl 0.346 0.154 0.500
Zn 0.000 0.000 0.000
Zn 0.500 0.500 0.000

=====

Entry 3:
The following is a DFT calculation (GGA-PBE) of a relaxed structure of Sc6TlZn.

Calculated values
Size of the total moment = 2.4 μB/f.u.
Uncorrected energy = -5.360 eV per atom
DFT formation energy = -121 kJ/mol of formula units
SG = No. 123

a b c (Å): 4.473 4.473 8.893
angles (deg): 90.00 90.00 90.00
Each line ends with the local moment (μB).
Sites, in units of the cell vectors:
Sc 0.500 0.500 0.000  0.30
Sc 0.500 0.500 0.500  0.27
Sc 0.500 0.000 0.260  0.28
Sc 0.500 0.000 0.740  0.28
Sc 0.000 0.500 0.260  0.28
Sc 0.000 0.500 0.740  0.28
Tl 0.000 0.000 0.000  -0.02
Zn 0.000 0.000 0.500  -0.01

=====

Entry 4:
The following is a DFT calculation (GGA-PBE) of a relaxed structure of Sc5Tl3Zn.

Calculated values
Size of the total moment = 0.0 μB/f.u.
Uncorrected energy = -4.767 eV per atom
DFT formation energy = -278 kJ/mol of formula units
SG = No. 193

a b c (Å): 6.293 8.655 8.655
angles (deg): 120.00 90.00 90.00
Sites, in units of the cell vectors:
Sc 0.000 0.667 0.333
Sc 0.500 0.333 0.667
Sc 0.000 0.333 0.667
Sc 0.500 0.667 0.333
Sc 0.750 0.726 0.726
Sc 0.750 0.000 0.274
Sc 0.750 0.274 0.000
Sc 0.250 0.274 0.274
Sc 0.250 0.000 0.726
Sc 0.250 0.726 0.000
Tl 0.750 0.381 0.381
Tl 0.750 0.000 0.619
Tl 0.750 0.619 0.000
Tl 0.250 0.619 0.619
Tl 0.250 0.000 0.381
Tl 0.250 0.381 0.000
Zn 0.000 0.000 0.000
Zn 0.500 0.000 0.000

=====

Entry 5:
The following is a DFT calculation (GGA-PBE) of a relaxed structure of Sc6Tl3Zn.

Calculated values
Size of the total moment = 1.3 μB/f.u.
Uncorrected energy = -4.876 eV per atom
DFT formation energy = -231 kJ/mol of formula units
SG = No. 11

a b c (Å): 5.016 8.709 10.881
angles (deg): 108.08 90.00 90.00
Each line ends with the local moment (μB).
Sites, in units of the cell vectors:
Sc 0.250 0.456 0.085  0.19
Sc 0.750 0.544 0.915  0.19
Sc 0.250 0.139 0.173  0.30
Sc 0.750 0.861 0.827  0.30
Sc 0.250 0.674 0.680  0.11
Sc 0.750 0.326 0.320  0.11
Sc 0.250 0.228 0.492  0.04
Sc 0.750 0.772 0.508  0.04
Sc 0.250 0.856 0.314  0.09
Sc 0.750 0.144 0.686  0.09
Sc 0.250 0.085 0.872  0.17
Sc 0.750 0.915 0.128  0.17
Tl 0.250 0.528 0.386  0.00
Tl 0.750 0.472 0.614  0.00
Tl 0.250 0.369 0.783  0.01
Tl 0.750 0.631 0.217  0.01
Tl 0.250 0.781 0.978  -0.01
Tl 0.750 0.219 0.022  -0.01
Zn 0.250 0.956 0.600  0.00
Zn 0.750 0.044 0.400  0.00

=====

Entry 6:
The following is a DFT calculation (GGA-PBE) of a relaxed structure of ScTl2Zn.

Calculated values
Size of the total moment = 0.0 μB/f.u.
Uncorrected energy = -3.083 eV per atom
DFT formation energy = 1 kJ/mol of formula units
SG = No. 12
Energy above the lowest structure with this stoichiometry = 0.42 eV/f.u.

a b c (Å): 5.273 5.273 5.483
angles (deg): 77.69 77.69 39.08
Sites, in units of the cell vectors:
Sc 0.250 0.250 0.250
Tl 0.009 0.009 0.991
Tl 0.491 0.491 0.509
Zn 0.750 0.750 0.750

=====

Entry 7:
The following is a DFT calculation (GGA-PBE) of a relaxed structure of ScTl2Zn.

Calculated values
Size of the total moment = 0.0 μB/f.u.
Uncorrected energy = -3.072 eV per atom
DFT formation energy = 5 kJ/mol of formula units
SG = No. 10
Energy above the lowest structure with this stoichiometry = 0.46 eV/f.u.

a b c (Å): 4.621 3.386 6.034
angles (deg): 82.55 90.00 90.00
Sites, in units of the cell vectors:
Sc 0.500 0.750 0.750
Tl 0.000 0.080 0.005
Tl 0.000 0.420 0.495
Zn 0.500 0.250 0.250

=====

Entry 8:
The following is a DFT calculation (GGA-PBE) of a relaxed structure of Sc12Tl3Zn.

Calculated values
Size of the total moment = 5.7 μB/f.u.
Uncorrected energy = -5.452 eV per atom
DFT formation energy = -279 kJ/mol of formula units
SG = No. 123

a b c (Å): 4.503 4.503 17.945
angles (deg): 90.00 90.00 90.00
Each line ends with the local moment (μB).
Sites, in units of the cell vectors:
Sc 0.500 0.500 0.000  0.27
Sc 0.500 0.500 0.246  0.35
Sc 0.500 0.500 0.500  0.38
Sc 0.500 0.500 0.754  0.35
Sc 0.500 0.000 0.118  0.27
Sc 0.500 0.000 0.373  0.39
Sc 0.500 0.000 0.627  0.39
Sc 0.500 0.000 0.882  0.27
Sc 0.000 0.500 0.118  0.27
Sc 0.000 0.500 0.373  0.39
Sc 0.000 0.500 0.627  0.39
Sc 0.000 0.500 0.882  0.27
Tl 0.000 0.000 0.246  -0.02
Tl 0.000 0.000 0.500  -0.02
Tl 0.000 0.000 0.754  -0.02
Zn 0.000 0.000 0.000  -0.01

=====

Entry 9:
The following is a DFT calculation (GGA-PBE) of a relaxed structure of ZrSc5Tl4.

Calculated values
Size of the total moment = 0.6 μB/f.u.
Uncorrected energy = -5.192 eV per atom
DFT formation energy = -217 kJ/mol of formula units
SG = No. 123

a b c (Å): 3.382 3.382 20.454
angles (deg): 90.00 90.00 90.00
Each line ends with the local moment (μB).
Sites, in units of the cell vectors:
Zr 0.000 0.000 0.000  0.00
Sc 0.500 0.500 0.102  -0.01
Sc 0.500 0.500 0.299  0.17
Sc 0.500 0.500 0.500  0.15
Sc 0.500 0.500 0.701  0.17
Sc 0.500 0.500 0.898  -0.01
Tl 0.000 0.000 0.201  -0.01
Tl 0.000 0.000 0.400  -0.01
Tl 0.000 0.000 0.600  -0.01
Tl 0.000 0.000 0.799  -0.01

=====

Entry 10:
The following is a DFT calculation (GGA-PBE) of a relaxed structure of Zr2ScTl.

Calculated values
Size of the total moment = 0.0 μB/f.u.
Uncorrected energy = -6.543 eV per atom
DFT formation energy = -37 kJ/mol of formula units
SG = No. 25
Energy above the lowest structure with this stoichiometry = 0.18 eV/f.u.

a b c (Å): 3.315 4.266 6.552
angles (deg): 90.00 90.00 90.00
Sites, in units of the cell vectors:
Sc 0.000 0.000 0.500
Tl 0.500 0.500 0.746
Zr 0.000 0.000 0.009
Zr 0.500 0.500 0.245

=====

Entry 11:
The following is a DFT calculation (GGA-PBE) of a relaxed structure of ZrScTl.

Calculated values
Size of the total moment = 0.0 μB/f.u.
Uncorrected energy = -5.838 eV per atom
DFT formation energy = -26 kJ/mol of formula units
SG = No. 156
Energy above the lowest structure with this stoichiometry = 0.27 eV/f.u.

a b c (Å): 3.321 3.321 7.613
angles (deg): 90.00 90.00 120.00
Sites, in units of the cell vectors:
Sc 0.000 0.000 0.994
Tl 0.667 0.333 0.332
Zr 0.333 0.667 0.673

=====

Entry 12:
The following is a DFT calculation (GGA-PBE) of a relaxed structure of Zr2ScTl.

Calculated values
Size of the total moment = 0.0 μB/f.u.
Uncorrected energy = -6.569 eV per atom
DFT formation energy = -46 kJ/mol of formula units
SG = No. 11
Energy above the lowest structure with this stoichiometry = 0.08 eV/f.u.

a b c (Å): 3.899 4.607 10.909
angles (deg): 102.25 90.00 90.00
Sites, in units of the cell vectors:
Zr 0.750 0.445 0.888
Zr 0.250 0.555 0.112
Zr 0.250 0.947 0.891
Zr 0.750 0.053 0.109
Sc 0.250 0.308 0.615
Sc 0.750 0.692 0.385
Tl 0.750 0.833 0.664
Tl 0.250 0.167 0.336

=====

Entry 13:
The following is a DFT calculation (GGA-PBE) of a relaxed structure of Zr9Sc4Tl11.

Calculated values
Size of the total moment = 1.4 μB/f.u.
Uncorrected energy = -5.410 eV per atom
DFT formation energy = -150 kJ/mol of formula units
SG = No. 65

a b c (Å): 3.219 13.126 13.126
angles (deg): 94.31 90.00 90.00
Each line ends with the local moment (μB).
Sites, in units of the cell vectors:
Zr 0.500 0.626 0.131  0.04
Zr 0.500 0.374 0.869  0.04
Zr 0.500 0.131 0.626  0.04
Zr 0.500 0.869 0.374  0.04
Zr 0.500 0.794 0.965  0.00
Zr 0.500 0.206 0.035  0.00
Zr 0.500 0.965 0.794  0.00
Zr 0.500 0.035 0.206  0.00
Zr 0.500 0.500 0.500  0.49
Sc 0.500 0.553 0.721  0.08
Sc 0.500 0.447 0.279  0.08
Sc 0.500 0.721 0.553  0.08
Sc 0.500 0.279 0.447  0.08
Tl 0.000 0.585 0.923  0.00
Tl 0.000 0.415 0.077  0.00
Tl 0.000 0.923 0.585  0.00
Tl 0.000 0.077 0.415  0.00
Tl 0.000 0.646 0.354  0.00
Tl 0.000 0.354 0.646  0.00
Tl 0.000 0.828 0.172  0.00
Tl 0.000 0.172 0.828  0.00
Tl 0.000 0.000 0.000  0.00
Tl 0.000 0.757 0.757  0.00
Tl 0.000 0.243 0.243  0.00

=====

Entry 14:
The following is a DFT calculation (GGA-PBE) of a relaxed structure of Zr2ScTl.

Calculated values
Size of the total moment = 0.0 μB/f.u.
Uncorrected energy = -6.538 eV per atom
DFT formation energy = -35 kJ/mol of formula units
SG = No. 99
Energy above the lowest structure with this stoichiometry = 0.20 eV/f.u.

a b c (Å): 3.192 3.192 9.196
angles (deg): 90.00 90.00 90.00
Sites, in units of the cell vectors:
Sc 0.000 0.000 0.498
Tl 0.500 0.500 0.748
Zr 0.000 0.000 0.003
Zr 0.500 0.500 0.250

=====

Entry 15:
The following is a DFT calculation (GGA-PBE) of a relaxed structure of ZrSc3Tl.

Calculated values
Size of the total moment = 0.0 μB/f.u.
Uncorrected energy = -5.307 eV per atom
DFT formation energy = 326 kJ/mol of formula units
SG = No. 221
Energy above the lowest structure with this stoichiometry = 3.89 eV/f.u.

a b c (Å): 5.205 5.205 5.205
angles (deg): 90.00 90.00 90.00
Sites, in units of the cell vectors:
Sc 0.000 0.500 0.000
Sc 0.000 0.000 0.500
Sc 0.500 0.000 0.000
Tl 0.500 0.500 0.500
Zr 0.000 0.000 0.000

=====

Entry 16:
The following is a DFT calculation (GGA-PBE) of a relaxed structure of Zr15Sc2Tl2.

Calculated values
Size of the total moment = 0.0 μB/f.u.
Uncorrected energy = -7.289 eV per atom
DFT formation energy = 688 kJ/mol of formula units
SG = No. 166

a b c (Å): 7.858 7.858 7.858
angles (deg): 79.82 79.82 79.82
Sites, in units of the cell vectors:
Zr 0.500 0.000 0.000
Zr 0.000 0.000 0.500
Zr 0.000 0.500 0.000
Zr 0.000 0.305 0.695
Zr 0.305 0.695 0.000
Zr 0.695 0.000 0.305
Zr 0.695 0.305 0.000
Zr 0.305 0.000 0.695
Zr 0.000 0.695 0.305
Zr 0.836 0.373 0.373
Zr 0.373 0.373 0.836
Zr 0.373 0.836 0.373
Zr 0.164 0.627 0.627
Zr 0.627 0.627 0.164
Zr 0.627 0.164 0.627
Sc 0.906 0.906 0.906
Sc 0.094 0.094 0.094
Tl 0.701 0.701 0.701
Tl 0.299 0.299 0.299

=====

Entry 17:
The following is a DFT calculation (GGA-PBE) of a relaxed structure of Zr2ScTl.

Calculated values
Size of the total moment = 0.0 μB/f.u.
Uncorrected energy = -6.570 eV per atom
DFT formation energy = -47 kJ/mol of formula units
SG = No. 123
Energy above the lowest structure with this stoichiometry = 0.07 eV/f.u.

a b c (Å): 4.571 4.447 4.447
angles (deg): 90.00 90.00 90.00
Sites, in units of the cell vectors:
Sc 0.500 0.500 0.000
Tl 0.500 0.000 0.500
Zr 0.000 0.000 0.000
Zr 0.000 0.500 0.500

=====

Entry 18:
The following is a DFT calculation (GGA-PBE) of a relaxed structure of ZrSc4Tl3.

Calculated values
Size of the total moment = 2.1 μB/f.u.
Uncorrected energy = -5.313 eV per atom
DFT formation energy = -147 kJ/mol of formula units
SG = No. 139

a b c (Å): 5.056 5.056 8.097
angles (deg): 108.20 108.19 90.00
Each line ends with the local moment (μB).
Sites, in units of the cell vectors:
Sc 0.376 0.376 0.752  0.16
Sc 0.624 0.624 0.248  0.16
Sc 0.124 0.124 0.248  0.16
Sc 0.876 0.876 0.752  0.16
Tl 0.000 0.500 0.000  -0.01
Tl 0.742 0.242 0.484  0.00
Tl 0.258 0.758 0.516  0.00
Zr 0.500 0.000 0.000  0.77

=====

Entry 19:
The following is a DFT calculation (GGA-PBE) of a relaxed structure of ZrScTl.

Calculated values
Size of the total moment = 0.6 μB/f.u.
Uncorrected energy = -5.737 eV per atom
DFT formation energy = 3 kJ/mol of formula units
SG = No. 139
Energy above the lowest structure with this stoichiometry = 0.57 eV/f.u.

a b c (Å): 3.220 3.220 14.326
angles (deg): 96.45 96.45 90.00
Each line ends with the local moment (μB).
Sites, in units of the cell vectors:
Zr 0.290 0.290 0.579  -0.02
Zr 0.710 0.710 0.421  -0.02
Tl 0.129 0.129 0.258  0.00
Tl 0.871 0.871 0.742  0.00
Sc 0.556 0.556 0.111  0.40
Sc 0.444 0.444 0.889  0.40

=====

Entry 20:
The following is a DFT calculation (GGA-PBE) of a relaxed structure of Zr2ScTl.

Calculated values
Size of the total moment = 1.6 μB/f.u.
Uncorrected energy = -6.410 eV per atom
DFT formation energy = 15 kJ/mol of formula units
SG = No. 216
Energy above the lowest structure with this stoichiometry = 0.71 eV/f.u.

a b c (Å): 5.059 5.059 5.059
angles (deg): 60.00 60.00 60.00
Each line ends with the local moment (μB).
Sites, in units of the cell vectors:
Zr 0.000 0.000 0.000  0.28
Zr 0.250 0.250 0.250  0.68
Sc 0.500 0.500 0.500  0.10
Tl 0.750 0.750 0.750  -0.01